A | Ta5Mo2W4 | GGA-PBE | optimized geometry

abc: 2.786 7.083 10.008
angles: 89.07 84.27 86.02
Atoms (fractional coordinates):
Ta: 0.000 0.000 0.000
Ta: 0.152 0.969 0.647
Ta: 0.431 0.713 0.184
Ta: 0.569 0.287 0.816
Ta: 0.848 0.031 0.353
Mo: 0.373 0.313 0.549
Mo: 0.627 0.687 0.451
W: 0.113 0.387 0.311
W: 0.188 0.645 0.923
W: 0.812 0.355 0.077
W: 0.887 0.613 0.689



B | Ta5Mo2W4 | GGA-PBE | optimized geometry

abc: 10.186 10.186 7.222
angles: 91.66 91.66 15.05
Atoms (fractional coordinates):
Ta: 0.000 0.000 0.000
Ta: 0.316 0.316 0.542
Ta: 0.365 0.365 0.919
Ta: 0.635 0.635 0.081
Ta: 0.684 0.684 0.458
Mo: 0.407 0.407 0.268
Mo: 0.593 0.593 0.732
W: 0.225 0.225 0.822
W: 0.457 0.457 0.637
W: 0.543 0.543 0.363
W: 0.775 0.775 0.178



Here are the energies relative to the best structure, in kJ/mol of atoms: A 0.0; B 16.6.



A | Ta6Mo2W | GGA-PBE | optimized geometry

abc: 7.675 7.675 4.435
angles: 106.66 106.66 48.16
Atoms (fractional coordinates):
Ta: 0.083 0.583 0.333
Ta: 0.249 0.751 0.000
Ta: 0.417 0.917 0.667
Ta: 0.583 0.083 0.333
Ta: 0.751 0.249 0.000
Ta: 0.917 0.417 0.667
Mo: 0.167 0.167 0.167
Mo: 0.833 0.833 0.833
W: 0.500 0.500 0.500



B | Ta6Mo2W | GGA-PBE | optimized geometry

abc: 5.396 5.396 9.834
angles: 106.69 106.69 34.94
Atoms (fractional coordinates):
Ta: 0.009 0.009 0.331
Ta: 0.331 0.331 0.437
Ta: 0.333 0.333 0.112
Ta: 0.667 0.667 0.888
Ta: 0.669 0.669 0.563
Ta: 0.991 0.991 0.669
Mo: 0.334 0.334 0.783
Mo: 0.666 0.666 0.217
W: 0.000 0.000 0.000



Here are the energies relative to the best structure, in kJ/mol of atoms: A 70.3; B 0.0.